w) Here is Ac2GaSb after structural relaxation from Alexandria. Energies are from GGA-PBE. Values from VASP.

Cell and atoms, written as Quantum ESPRESSO input:
```
&SYSTEM
  ibrav = 0, nat = 4, ntyp = 3
/
ATOMIC_SPECIES
Ac 227.00 Ac.upf
Ga 69.72 Ga.upf
Sb 121.76 Sb.upf
CELL_PARAMETERS angstrom
4.153 0.000 0.000
0.000 4.153 0.000
0.000 0.000 7.522
ATOMIC_POSITIONS crystal
Ac 0.000 0.000 0.248
Ac 0.000 0.000 0.752
Ga 0.500 0.500 0.500
Sb 0.500 0.500 0.000
```

Output
* M_tot: 0.00 μB/f.u.

***

x) Here is Ac2GaSb after structural relaxation from Alexandria. Energies are from GGA-PBE. Values from VASP.

Cell and atoms, written as Quantum ESPRESSO input:
```
&SYSTEM
  ibrav = 0, nat = 4, ntyp = 3
/
ATOMIC_SPECIES
Ac 227.00 Ac.upf
Ga 69.72 Ga.upf
Sb 121.76 Sb.upf
CELL_PARAMETERS angstrom
2.633 1.520 5.795
-2.633 1.520 5.795
0.000 -3.041 5.795
ATOMIC_POSITIONS crystal
Ac 0.247 0.247 0.247
Ac 0.753 0.753 0.753
Ga 0.500 0.500 0.500
Sb 0.000 0.000 0.000
```

Output
* M_tot: 0.00 μB/f.u.

***

Order of stability, best first: w), x)

***

w) Here is AcSc2Ga after structural relaxation from Alexandria. Energies are from GGA-PBE. Values from VASP.

Cell and atoms, written as Quantum ESPRESSO input:
```
&SYSTEM
  ibrav = 0, nat = 4, ntyp = 3
/
ATOMIC_SPECIES
Ac 227.00 Ac.upf
Sc 44.96 Sc.upf
Ga 69.72 Ga.upf
CELL_PARAMETERS angstrom
2.355 1.360 6.041
-2.355 1.360 6.041
0.000 -2.719 6.041
ATOMIC_POSITIONS crystal
Ac 0.000 0.000 0.000
Sc 0.209 0.209 0.209
Sc 0.791 0.791 0.791
Ga 0.500 0.500 0.500
```

Output
* M_tot: 0.00 μB/f.u.

***

x) Here is AcSc2Ga after structural relaxation from Alexandria. Energies are from GGA-PBE. Values from VASP.

Cell and atoms, written as Quantum ESPRESSO input:
```
&SYSTEM
  ibrav = 0, nat = 4, ntyp = 3
/
ATOMIC_SPECIES
Ac 227.00 Ac.upf
Sc 44.96 Sc.upf
Ga 69.72 Ga.upf
CELL_PARAMETERS angstrom
3.491 0.000 0.000
0.000 3.491 0.000
0.000 0.000 8.523
ATOMIC_POSITIONS crystal
Ac 0.000 0.000 0.000
Sc 0.500 0.500 0.309
Sc 0.500 0.500 0.691
Ga 0.000 0.000 0.500
```

Output
* M_tot: 0.00 μB/f.u.

***

Order of stability, best first: x), w)

***

w) Here is AcScGa after structural relaxation from Alexandria. Energies are from GGA-PBE. Values from VASP.

Cell and atoms, written as Quantum ESPRESSO input:
```
&SYSTEM
  ibrav = 0, nat = 9, ntyp = 3
/
ATOMIC_SPECIES
Ac 227.00 Ac.upf
Sc 44.96 Sc.upf
Ga 69.72 Ga.upf
CELL_PARAMETERS angstrom
7.984 0.000 0.000
-3.992 6.914 0.000
0.000 0.000 4.616
ATOMIC_POSITIONS crystal
Ac 0.000 0.408 0.000
Ac 0.408 0.000 0.000
Ac 0.592 0.592 0.000
Sc 0.000 0.757 0.500
Sc 0.243 0.243 0.500
Sc 0.757 0.000 0.500
Ga 0.000 0.000 0.000
Ga 0.333 0.667 0.500
Ga 0.667 0.333 0.500
```

Output
* M_tot: 0.77 μB/f.u.

***

x) Here is AcScGa after structural relaxation from Alexandria. Energies are from GGA-PBE. Values from VASP.

Cell and atoms, written as Quantum ESPRESSO input:
```
&SYSTEM
  ibrav = 0, nat = 6, ntyp = 3
/
ATOMIC_SPECIES
Ac 227.00 Ac.upf
Sc 44.96 Sc.upf
Ga 69.72 Ga.upf
CELL_PARAMETERS angstrom
4.682 0.000 0.000
0.000 4.682 0.000
0.000 0.000 7.785
ATOMIC_POSITIONS crystal
Ac 0.250 0.250 0.147
Ac 0.750 0.750 0.853
Sc 0.250 0.750 0.500
Sc 0.750 0.250 0.500
Ga 0.250 0.250 0.714
Ga 0.750 0.750 0.286
```

Output
* M_tot: 0.60 μB/f.u.

***

y) Here is AcScGa after structural relaxation from Alexandria. Energies are from GGA-PBE. Values from VASP.

Cell and atoms, written as Quantum ESPRESSO input:
```
&SYSTEM
  ibrav = 0, nat = 3, ntyp = 3
/
ATOMIC_SPECIES
Ac 227.00 Ac.upf
Sc 44.96 Sc.upf
Ga 69.72 Ga.upf
CELL_PARAMETERS angstrom
4.772 0.000 0.000
-2.386 4.133 0.000
0.000 0.000 4.487
ATOMIC_POSITIONS crystal
Ac 0.000 0.000 0.000
Sc 0.667 0.333 0.500
Ga 0.333 0.667 0.500
```

Output
* M_tot: 0.21 μB/f.u.

***

Order of stability, best first: x), w), y)

***

w) Here is AcScGa4 after structural relaxation from Alexandria. Energies are from GGA-PBE. Values from VASP.

Cell and atoms, written as Quantum ESPRESSO input:
```
&SYSTEM
  ibrav = 0, nat = 6, ntyp = 3
/
ATOMIC_SPECIES
Ac 227.00 Ac.upf
Sc 44.96 Sc.upf
Ga 69.72 Ga.upf
CELL_PARAMETERS angstrom
0.000 3.997 3.997
3.997 0.000 3.997
3.997 3.997 0.000
ATOMIC_POSITIONS crystal
Ac 0.000 0.000 0.000
Sc 0.750 0.750 0.750
Ga 0.375 0.375 0.375
Ga 0.375 0.375 0.874
Ga 0.375 0.874 0.375
Ga 0.874 0.375 0.375
```

Output
* M_tot: 0.00 μB/f.u.

***

x) Here is AcScGa4 after structural relaxation from Alexandria. Energies are from GGA-PBE. Values from VASP.

Cell and atoms, written as Quantum ESPRESSO input:
```
&SYSTEM
  ibrav = 0, nat = 24, ntyp = 3
/
ATOMIC_SPECIES
Ac 227.00 Ac.upf
Sc 44.96 Sc.upf
Ga 69.72 Ga.upf
CELL_PARAMETERS angstrom
8.175 0.000 0.000
0.000 15.739 0.000
0.000 0.000 4.261
ATOMIC_POSITIONS crystal
Ac 0.130 0.149 0.000
Ac 0.370 0.649 0.000
Ac 0.630 0.351 0.000
Ac 0.870 0.851 0.000
Sc 0.126 0.417 0.000
Sc 0.374 0.917 0.000
Sc 0.626 0.083 0.000
Sc 0.874 0.583 0.000
Ga 0.017 0.697 0.500
Ga 0.117 0.550 0.500
Ga 0.131 0.966 0.500
Ga 0.211 0.814 0.500
Ga 0.289 0.314 0.500
Ga 0.369 0.466 0.500
Ga 0.383 0.050 0.500
Ga 0.483 0.197 0.500
Ga 0.517 0.803 0.500
Ga 0.617 0.950 0.500
Ga 0.631 0.534 0.500
Ga 0.711 0.686 0.500
Ga 0.789 0.186 0.500
Ga 0.869 0.034 0.500
Ga 0.883 0.450 0.500
Ga 0.983 0.303 0.500
```

Output
* M_tot: 0.00 μB/f.u.

***

Order of stability, best first: x), w)

***

w) Here is AcGaSe after structural relaxation from Alexandria. Energies are from GGA-PBE. Values from VASP.

Cell and atoms, written as Quantum ESPRESSO input:
```
&SYSTEM
  ibrav = 0, nat = 6, ntyp = 3
/
ATOMIC_SPECIES
Ac 227.00 Ac.upf
Ga 69.72 Ga.upf
Se 78.96 Se.upf
CELL_PARAMETERS angstrom
4.192 0.000 0.000
0.000 4.192 0.000
0.000 0.000 10.241
ATOMIC_POSITIONS crystal
Ac 0.250 0.250 0.203
Ac 0.750 0.750 0.797
Ga 0.250 0.250 0.534
Ga 0.750 0.750 0.466
Se 0.250 0.250 0.882
Se 0.750 0.750 0.118
```

Output
* M_tot: 0.00 μB/f.u.

***

x) Here is AcGaSe after structural relaxation from Alexandria. Energies are from GGA-PBE. Values from VASP.

Cell and atoms, written as Quantum ESPRESSO input:
```
&SYSTEM
  ibrav = 0, nat = 3, ntyp = 3
/
ATOMIC_SPECIES
Ac 227.00 Ac.upf
Ga 69.72 Ga.upf
Se 78.96 Se.upf
CELL_PARAMETERS angstrom
-2.168 2.168 4.800
2.168 -2.168 4.800
2.168 2.168 -4.800
ATOMIC_POSITIONS crystal
Ac 0.000 0.000 0.000
Ga 0.332 0.332 0.000
Se 0.598 0.598 0.000
```

Output
* M_tot: 0.00 μB/f.u.

***

Order of stability, best first: w), x)

***

w) Here is AcGaSi2 after structural relaxation from Alexandria. Energies are from GGA-PBE. Values from VASP.

Cell and atoms, written as Quantum ESPRESSO input:
```
&SYSTEM
  ibrav = 0, nat = 4, ntyp = 3
/
ATOMIC_SPECIES
Ac 227.00 Ac.upf
Ga 69.72 Ga.upf
Si 28.09 Si.upf
CELL_PARAMETERS angstrom
2.760 1.594 3.680
-2.760 1.594 3.680
0.000 -3.187 3.680
ATOMIC_POSITIONS crystal
Ac 0.000 0.000 0.000
Ga 0.500 0.500 0.500
Si 0.281 0.281 0.281
Si 0.719 0.719 0.719
```

Output
* M_tot: 0.00 μB/f.u.

***

x) Here is AcGaSi2 after structural relaxation from Alexandria. Energies are from GGA-PBE. Values from VASP.

Cell and atoms, written as Quantum ESPRESSO input:
```
&SYSTEM
  ibrav = 0, nat = 4, ntyp = 3
/
ATOMIC_SPECIES
Ac 227.00 Ac.upf
Ga 69.72 Ga.upf
Si 28.09 Si.upf
CELL_PARAMETERS angstrom
4.336 0.000 0.000
0.000 2.810 4.137
0.000 -2.810 4.137
ATOMIC_POSITIONS crystal
Ac 0.000 0.000 0.000
Ga 0.500 0.554 0.554
Si 0.500 0.066 0.485
Si 0.500 0.485 0.066
```

Output
* M_tot: 0.00 μB/f.u.

***

Order of stability, best first: x), w)

***

w) Here is AcSmGaSi after structural relaxation from Alexandria. Energies are from GGA-PBE. Values from VASP.

Cell and atoms, written as Quantum ESPRESSO input:
```
&SYSTEM
  ibrav = 0, nat = 4, ntyp = 4
/
ATOMIC_SPECIES
Ac 227.00 Ac.upf
Sm 150.36 Sm.upf
Ga 69.72 Ga.upf
Si 28.09 Si.upf
CELL_PARAMETERS angstrom
4.113 0.000 0.000
0.000 2.264 5.822
0.000 -2.264 5.822
ATOMIC_POSITIONS crystal
Ac 0.000 0.000 0.000
Sm 0.500 0.283 0.283
Ga 0.500 0.586 0.586
Si 0.000 0.721 0.721
```

Output
* M_tot: 0.11 μB/f.u.

***

x) Here is AcSmGaSi after structural relaxation from Alexandria. Energies are from GGA-PBE. Values from VASP.

Cell and atoms, written as Quantum ESPRESSO input:
```
&SYSTEM
  ibrav = 0, nat = 4, ntyp = 4
/
ATOMIC_SPECIES
Ac 227.00 Ac.upf
Sm 150.36 Sm.upf
Ga 69.72 Ga.upf
Si 28.09 Si.upf
CELL_PARAMETERS angstrom
0.000 3.759 3.759
3.759 0.000 3.759
3.759 3.759 0.000
ATOMIC_POSITIONS crystal
Ac 0.000 0.000 0.000
Sm 0.500 0.500 0.500
Ga 0.250 0.250 0.250
Si 0.750 0.750 0.750
```

Output
* M_tot: 0.00 μB/f.u.

***

Order of stability, best first: w), x)

***

w) Here is AcSmGa after structural relaxation from Alexandria. Energies are from GGA-PBE. Values from VASP.

Cell and atoms, written as Quantum ESPRESSO input:
```
&SYSTEM
  ibrav = 0, nat = 6, ntyp = 3
/
ATOMIC_SPECIES
Ac 227.00 Ac.upf
Sm 150.36 Sm.upf
Ga 69.72 Ga.upf
CELL_PARAMETERS angstrom
3.804 0.000 0.000
-1.902 3.294 0.000
0.000 0.000 16.642
ATOMIC_POSITIONS crystal
Ac 0.333 0.667 0.000
Ac 0.667 0.333 0.500
Sm 0.333 0.667 0.767
Sm 0.667 0.333 0.267
Ga 0.000 0.000 0.143
Ga 0.000 0.000 0.643
```

Output
* M_tot: 0.12 μB/f.u.

***

x) Here is AcSmGa after structural relaxation from Alexandria. Energies are from GGA-PBE. Values from VASP.

Cell and atoms, written as Quantum ESPRESSO input:
```
&SYSTEM
  ibrav = 0, nat = 3, ntyp = 3
/
ATOMIC_SPECIES
Ac 227.00 Ac.upf
Sm 150.36 Sm.upf
Ga 69.72 Ga.upf
CELL_PARAMETERS angstrom
-1.889 1.889 6.676
1.889 -1.889 6.676
1.889 1.889 -6.676
ATOMIC_POSITIONS crystal
Ac 0.000 0.000 0.000
Sm 0.718 0.718 0.000
Ga 0.341 0.341 0.000
```

Output
* M_tot: 0.00 μB/f.u.

***

y) Here is AcSmGa after structural relaxation from Alexandria. Energies are from GGA-PBE. Values from VASP.

Cell and atoms, written as Quantum ESPRESSO input:
```
&SYSTEM
  ibrav = 0, nat = 3, ntyp = 3
/
ATOMIC_SPECIES
Ac 227.00 Ac.upf
Sm 150.36 Sm.upf
Ga 69.72 Ga.upf
CELL_PARAMETERS angstrom
0.000 3.709 3.709
3.709 0.000 3.709
3.709 3.709 0.000
ATOMIC_POSITIONS crystal
Ac 0.000 0.000 0.000
Sm 0.500 0.500 0.500
Ga 0.750 0.750 0.750
```

Output
* M_tot: 0.00 μB/f.u.

***

Order of stability, best first: x), y), w)

***

w) Here is AcSmGa after structural relaxation from Alexandria. Energies are from GGA-PBE. Values from VASP.

Cell and atoms, written as Quantum ESPRESSO input:
```
&SYSTEM
  ibrav = 0, nat = 6, ntyp = 3
/
ATOMIC_SPECIES
Ac 227.00 Ac.upf
Sm 150.36 Sm.upf
Ga 69.72 Ga.upf
CELL_PARAMETERS angstrom
4.848 0.000 0.000
0.000 4.848 0.000
0.000 0.000 8.125
ATOMIC_POSITIONS crystal
Ac 0.250 0.250 0.140
Ac 0.750 0.750 0.860
Sm 0.250 0.750 0.500
Sm 0.750 0.250 0.500
Ga 0.250 0.250 0.743
Ga 0.750 0.750 0.257
```

Output
* M_tot: 0.04 μB/f.u.

***

x) Here is AcSmGa after structural relaxation from Alexandria. Energies are from GGA-PBE. Values from VASP.

Cell and atoms, written as Quantum ESPRESSO input:
```
&SYSTEM
  ibrav = 0, nat = 3, ntyp = 3
/
ATOMIC_SPECIES
Ac 227.00 Ac.upf
Sm 150.36 Sm.upf
Ga 69.72 Ga.upf
CELL_PARAMETERS angstrom
3.896 0.000 0.000
-1.948 3.374 0.000
0.000 0.000 7.708
ATOMIC_POSITIONS crystal
Ac 0.000 0.000 0.000
Sm 0.333 0.667 0.572
Ga 0.667 0.333 0.305
```

Output
* M_tot: 0.49 μB/f.u.

***

Order of stability, best first: w), x)

***

w) Here is Ac3GaSn2 after structural relaxation from Alexandria. Energies are from GGA-PBE. Values from VASP.

Cell and atoms, written as Quantum ESPRESSO input:
```
&SYSTEM
  ibrav = 0, nat = 12, ntyp = 3
/
ATOMIC_SPECIES
Ac 227.00 Ac.upf
Ga 69.72 Ga.upf
Sn 118.71 Sn.upf
CELL_PARAMETERS angstrom
8.624 -3.413 0.000
8.624 3.413 0.000
-1.740 0.000 6.803
ATOMIC_POSITIONS crystal
Ac 0.178 0.822 0.750
Ac 0.214 0.436 0.376
Ac 0.436 0.214 0.876
Ac 0.564 0.786 0.124
Ac 0.786 0.564 0.624
Ac 0.822 0.178 0.250
Ga 0.329 0.671 0.250
Ga 0.671 0.329 0.750
Sn 0.046 0.257 0.023
Sn 0.257 0.046 0.523
Sn 0.743 0.954 0.477
Sn 0.954 0.743 0.977
```

Output
* M_tot: 0.00 μB/f.u.

***

x) Here is Ac3GaSn2 after structural relaxation from Alexandria. Energies are from GGA-PBE. Values from VASP.

Cell and atoms, written as Quantum ESPRESSO input:
```
&SYSTEM
  ibrav = 0, nat = 24, ntyp = 3
/
ATOMIC_SPECIES
Ac 227.00 Ac.upf
Ga 69.72 Ga.upf
Sn 118.71 Sn.upf
CELL_PARAMETERS angstrom
13.329 0.000 0.000
0.000 4.721 0.000
0.000 0.000 13.160
ATOMIC_POSITIONS crystal
Ac 0.054 0.250 0.121
Ac 0.121 0.750 0.555
Ac 0.215 0.250 0.795
Ac 0.285 0.750 0.295
Ac 0.379 0.250 0.055
Ac 0.446 0.750 0.621
Ac 0.554 0.250 0.379
Ac 0.621 0.750 0.945
Ac 0.715 0.250 0.705
Ac 0.785 0.750 0.205
Ac 0.879 0.250 0.445
Ac 0.946 0.750 0.879
Ga 0.131 0.250 0.363
Ga 0.369 0.750 0.863
Ga 0.631 0.250 0.137
Ga 0.869 0.750 0.637
Sn 0.014 0.750 0.312
Sn 0.192 0.750 0.998
Sn 0.308 0.250 0.498
Sn 0.486 0.250 0.812
Sn 0.514 0.750 0.188
Sn 0.692 0.750 0.502
Sn 0.808 0.250 0.002
Sn 0.986 0.250 0.688
```

Output
* M_tot: 0.00 μB/f.u.

***

Order of stability, best first: x), w)

***

w) Here is Ac3Ga2Sn4 after structural relaxation from Alexandria. Energies are from GGA-PBE. Values from VASP.

Cell and atoms, written as Quantum ESPRESSO input:
```
&SYSTEM
  ibrav = 0, nat = 9, ntyp = 3
/
ATOMIC_SPECIES
Ac 227.00 Ac.upf
Ga 69.72 Ga.upf
Sn 118.71 Sn.upf
CELL_PARAMETERS angstrom
6.330 -2.294 0.000
6.330 2.294 0.000
-3.137 0.000 9.466
ATOMIC_POSITIONS crystal
Ac 0.000 0.000 0.000
Ac 0.370 0.370 0.316
Ac 0.630 0.630 0.684
Ga 0.303 0.303 0.651
Ga 0.697 0.697 0.349
Sn 0.086 0.086 0.377
Sn 0.292 0.292 0.937
Sn 0.708 0.708 0.063
Sn 0.914 0.914 0.623
```

Output
* M_tot: 0.00 μB/f.u.

***

x) Here is Ac3Ga2Sn4 after structural relaxation from Alexandria. Energies are from GGA-PBE. Values from VASP.

Cell and atoms, written as Quantum ESPRESSO input:
```
&SYSTEM
  ibrav = 0, nat = 9, ntyp = 3
/
ATOMIC_SPECIES
Ac 227.00 Ac.upf
Ga 69.72 Ga.upf
Sn 118.71 Sn.upf
CELL_PARAMETERS angstrom
6.327 -2.336 0.000
6.327 2.336 0.000
-1.437 0.000 9.354
ATOMIC_POSITIONS crystal
Ac 0.000 0.000 0.000
Ac 0.332 0.332 0.332
Ac 0.668 0.668 0.668
Ga 0.348 0.348 0.675
Ga 0.652 0.652 0.325
Sn 0.038 0.038 0.360
Sn 0.305 0.305 0.953
Sn 0.695 0.695 0.047
Sn 0.962 0.962 0.640
```

Output
* M_tot: 0.00 μB/f.u.

***

Order of stability, best first: x), w)

***

w) Here is Ac4GaSn after structural relaxation from Alexandria. Energies are from GGA-PBE. Values from VASP.

Cell and atoms, written as Quantum ESPRESSO input:
```
&SYSTEM
  ibrav = 0, nat = 6, ntyp = 3
/
ATOMIC_SPECIES
Ac 227.00 Ac.upf
Ga 69.72 Ga.upf
Sn 118.71 Sn.upf
CELL_PARAMETERS angstrom
5.515 0.000 0.000
0.000 5.515 0.000
0.000 0.000 7.855
ATOMIC_POSITIONS crystal
Ac 0.000 0.500 0.235
Ac 0.000 0.500 0.765
Ac 0.500 0.000 0.235
Ac 0.500 0.000 0.765
Ga 0.000 0.000 0.000
Sn 0.500 0.500 0.500
```

Output
* M_tot: 0.00 μB/f.u.

***

x) Here is Ac4GaSn after structural relaxation from Alexandria. Energies are from GGA-PBE. Values from VASP.

Cell and atoms, written as Quantum ESPRESSO input:
```
&SYSTEM
  ibrav = 0, nat = 12, ntyp = 3
/
ATOMIC_SPECIES
Ac 227.00 Ac.upf
Ga 69.72 Ga.upf
Sn 118.71 Sn.upf
CELL_PARAMETERS angstrom
7.877 0.000 0.000
0.000 7.877 0.000
0.000 0.000 7.377
ATOMIC_POSITIONS crystal
Ac 0.168 0.318 0.000
Ac 0.168 0.682 0.500
Ac 0.318 0.168 0.500
Ac 0.318 0.832 0.000
Ac 0.682 0.168 0.000
Ac 0.682 0.832 0.500
Ac 0.832 0.318 0.500
Ac 0.832 0.682 0.000
Ga 0.000 0.000 0.250
Ga 0.000 0.000 0.750
Sn 0.500 0.500 0.250
Sn 0.500 0.500 0.750
```

Output
* M_tot: 0.47 μB/f.u.

***

Order of stability, best first: x), w)